(1)
# Cr4RuRh | Alexandria via LeMat-Bulk | SCAN | single point on PBEsol structure
# Calculated volume, Å³/atom: 11.880
# Crystal system: cubic
# Total energy, eV per cell: -568.96
# E_form, eV per atom: -0.0174
data_Cr4RuRh
_cell_length_a 6.582
_cell_length_b 6.582
_cell_length_c 6.582
_cell_angle_alpha 90.00
_cell_angle_beta 90.00
_cell_angle_gamma 90.00
_symmetry_space_group_name_H-M 'F -4 3 m'
_symmetry_Int_Tables_number 216
_symmetry_space_group_name_Hall 'F -4 2 3'
loop_
_atom_site_label
_atom_site_type_symbol
_atom_site_fract_x
_atom_site_fract_y
_atom_site_fract_z
Cr1 Cr 0.125 0.125 0.125
Ru1 Ru 0.250 0.250 0.750
Rh1 Rh 0.000 0.000 0.500

---

(2)
# B9H11 | Alexandria via LeMat-Bulk | SCAN | single point on PBEsol structure
# Calculated volume, Å³/atom: 8.234
# Crystal system: orthorhombic
# Distance to the lowest polymorph of the same formula, meV per atom: 0
# Total energy, eV per cell: -857.79
data_B9H11
_cell_length_a 10.481
_cell_length_b 11.836
_cell_length_c 10.621
_cell_angle_alpha 90.00
_cell_angle_beta 90.00
_cell_angle_gamma 90.00
_symmetry_space_group_name_H-M 'P c c n'
_symmetry_Int_Tables_number 56
_symmetry_space_group_name_Hall '-P 2ab 2ac'
loop_
_atom_site_label
_atom_site_type_symbol
_atom_site_fract_x
_atom_site_fract_y
_atom_site_fract_z
B1 B 0.002 0.103 0.227
B2 B 0.047 0.039 0.797
B3 B 0.060 0.618 0.001
B4 B 0.066 0.145 0.391
B5 B 0.077 0.033 0.505
B6 B 0.093 0.662 0.155
B7 B 0.147 0.072 0.669
B8 B 0.160 0.557 0.252
B9 B 0.185 0.551 0.087
H1 H 0.034 0.113 0.703
H2 H 0.036 0.091 0.893
H3 H 0.040 0.155 0.139
H4 H 0.068 0.007 0.227
H5 H 0.089 0.679 0.916
H6 H 0.125 0.741 0.670
H7 H 0.137 0.224 0.399
H8 H 0.140 0.055 0.395
H9 H 0.209 0.557 0.545
H10 H 0.217 0.152 0.672
H11 H 0.246 0.583 0.320

---

> Which of these has the lowest total energy?

B9H11